No. 1
VASP calculation (PBE-GGA) on an optimized crystal structure of PmY4In2.

Lattice parameters (Å, degrees): 10.8704 10.8704 10.8704 27.27 27.27 27.27
Fractional coordinates of all 7 atoms:
1 Pm 0.0000 0.0000 0.0000
2 Y 0.2037 0.2037 0.2037
3 Y 0.3920 0.3920 0.3920
4 Y 0.6080 0.6080 0.6080
5 Y 0.7963 0.7963 0.7963
6 In 0.1008 0.1008 0.1008
7 In 0.8992 0.8992 0.8992

Computed properties:
Fermi-level density of states = 8.809 states/eV per cell
total energy = -5.142 eV/atom
formation enthalpy at 0 K = 0.013 eV/atom
volume = 34.00 Å³ per atom
crystal system = trigonal

No. 2
VASP calculation (PBE-GGA) on an optimized crystal structure of PmY2In.

Lattice parameters (Å, degrees): 3.6259 3.6259 9.2129 90.00 90.00 90.00
Fractional coordinates of all 4 atoms:
1 Pm 0.0000 0.0000 0.0000
2 Y 0.5000 0.5000 0.2783
3 Y 0.5000 0.5000 0.7217
4 In 0.0000 0.0000 0.5000

Computed properties:
Fermi-level density of states = 3.844 states/eV per cell
total energy = -5.360 eV/atom
formation enthalpy at 0 K = -0.256 eV/atom
volume = 30.28 Å³ per atom
crystal system = tetragonal

No. 3
VASP calculation (PBE-GGA) on an optimized crystal structure of PmY4In2.

Lattice parameters (Å, degrees): 6.5304 10.7422 6.9126 90.00 115.40 90.00
Fractional coordinates of all 14 atoms:
1 Pm 0.0000 0.0000 0.0000
2 Pm 0.0000 0.5000 0.5000
3 Y 0.0048 0.1676 0.5008
4 Y 0.0048 0.3324 0.0008
5 Y 0.4942 0.7207 0.4983
6 Y 0.4942 0.7793 0.9983
7 Y 0.5058 0.2207 0.0017
8 Y 0.5058 0.2793 0.5017
9 Y 0.9952 0.6676 0.9992
10 Y 0.9952 0.8324 0.4992
11 In 0.4497 0.5011 0.1864
12 In 0.4497 0.9989 0.6864
13 In 0.5503 0.0011 0.3136
14 In 0.5503 0.4989 0.8136

Computed properties:
Fermi-level density of states = 18.256 states/eV per cell
total energy = -5.309 eV/atom
formation enthalpy at 0 K = -0.154 eV/atom
volume = 31.29 Å³ per atom
crystal system = monoclinic

No. 4
VASP calculation (PBE-GGA) on an optimized crystal structure of PmY4In5.

Lattice parameters (Å, degrees): 3.7738 3.7738 19.0001 90.00 90.00 90.00
Fractional coordinates of all 10 atoms:
1 Pm 0.0000 0.0000 0.0000
2 Y 0.0000 0.0000 0.2038
3 Y 0.0000 0.0000 0.4013
4 Y 0.0000 0.0000 0.5987
5 Y 0.0000 0.0000 0.7962
6 In 0.5000 0.5000 0.1055
7 In 0.5000 0.5000 0.3026
8 In 0.5000 0.5000 0.5000
9 In 0.5000 0.5000 0.6974
10 In 0.5000 0.5000 0.8945

Computed properties:
Fermi-level density of states = 5.908 states/eV per cell
total energy = -4.929 eV/atom
formation enthalpy at 0 K = -0.499 eV/atom
volume = 27.06 Å³ per atom
crystal system = tetragonal

No. 5
VASP calculation (PBE-GGA) on an optimized crystal structure of Pm2YIn2.

Lattice parameters (Å, degrees): 4.4896 4.9546 13.1365 90.00 99.82 90.00
Fractional coordinates of all 10 atoms:
1 Pm 0.0482 0.2500 0.0971
2 Pm 0.2389 0.2500 0.4785
3 Pm 0.7611 0.7500 0.5215
4 Pm 0.9518 0.7500 0.9029
5 Y 0.1423 0.7500 0.2860
6 Y 0.8577 0.2500 0.7140
7 In 0.3518 0.7500 0.7024
8 In 0.4521 0.2500 0.9040
9 In 0.5479 0.7500 0.0960
10 In 0.6482 0.2500 0.2976

Computed properties:
Fermi-level density of states = 9.709 states/eV per cell
total energy = -4.682 eV/atom
formation enthalpy at 0 K = -0.394 eV/atom
volume = 28.79 Å³ per atom
crystal system = monoclinic

No. 6
VASP calculation (PBE-GGA) on an optimized crystal structure of Pm3YIn12.

Lattice parameters (Å, degrees): 4.6818 4.6818 18.7952 90.00 90.00 90.00
Fractional coordinates of all 16 atoms:
1 Pm 0.0000 0.0000 0.0000
2 Pm 0.0000 0.0000 0.2518
3 Pm 0.0000 0.0000 0.7482
4 Y 0.0000 0.0000 0.5000
5 In 0.0000 0.5000 0.1258
6 In 0.0000 0.5000 0.3773
7 In 0.0000 0.5000 0.6227
8 In 0.0000 0.5000 0.8742
9 In 0.5000 0.0000 0.1258
10 In 0.5000 0.0000 0.3773
11 In 0.5000 0.0000 0.6227
12 In 0.5000 0.0000 0.8742
13 In 0.5000 0.5000 0.0000
14 In 0.5000 0.5000 0.2508
15 In 0.5000 0.5000 0.5000
16 In 0.5000 0.5000 0.7492

Computed properties:
Fermi-level density of states = 10.032 states/eV per cell
total energy = -3.800 eV/atom
formation enthalpy at 0 K = -0.451 eV/atom
volume = 25.75 Å³ per atom
crystal system = tetragonal

No. 7
VASP calculation (PBE-GGA) on an optimized crystal structure of Pm6YIn2.

Lattice parameters (Å, degrees): 6.1333 6.1333 10.6609 107.64 107.64 46.45
Fractional coordinates of all 9 atoms:
1 Pm 0.0075 0.0075 0.1757
2 Pm 0.3269 0.3269 0.9450
3 Pm 0.3298 0.3298 0.6095
4 Pm 0.6702 0.6702 0.3905
5 Pm 0.6731 0.6731 0.0550
6 Pm 0.9925 0.9925 0.8243
7 Y 0.0000 0.0000 0.5000
8 In 0.3406 0.3406 0.2849
9 In 0.6594 0.6594 0.7151

Computed properties:
Fermi-level density of states = 10.911 states/eV per cell
total energy = -4.710 eV/atom
formation enthalpy at 0 K = -0.217 eV/atom
volume = 30.49 Å³ per atom
crystal system = monoclinic

No. 8
VASP calculation (PBE-GGA) on an optimized crystal structure of Pm3Y2In3.

Lattice parameters (Å, degrees): 11.8068 11.8068 11.8068 161.28 153.32 32.79
Fractional coordinates of all 8 atoms:
1 Pm 0.0000 0.0000 0.0000
2 Pm 0.3767 0.8767 0.5000
3 Pm 0.6233 0.1233 0.5000
4 Y 0.2341 0.2341 0.0000
5 Y 0.7659 0.7659 0.0000
6 In 0.1213 0.6213 0.5000
7 In 0.5000 0.5000 0.0000
8 In 0.8787 0.3787 0.5000

Computed properties:
Fermi-level density of states = 7.771 states/eV per cell
total energy = -4.799 eV/atom
formation enthalpy at 0 K = -0.374 eV/atom
volume = 29.62 Å³ per atom
crystal system = orthorhombic

No. 9
VASP calculation (PBE-GGA) on an optimized crystal structure of Pm2Y2In3.

Lattice parameters (Å, degrees): 12.9445 12.9445 3.5186 90.00 90.00 159.96
Fractional coordinates of all 7 atoms:
1 Pm 0.0695 0.9305 0.0000
2 Pm 0.9305 0.0695 0.0000
3 Y 0.2002 0.7998 0.0000
4 Y 0.7998 0.2002 0.0000
5 In 0.3577 0.6423 0.5000
6 In 0.5000 0.5000 0.5000
7 In 0.6423 0.3577 0.5000

Computed properties:
Fermi-level density of states = 7.184 states/eV per cell
total energy = -4.699 eV/atom
formation enthalpy at 0 K = -0.322 eV/atom
volume = 28.87 Å³ per atom
crystal system = orthorhombic

No. 10
VASP calculation (PBE-GGA) on an optimized crystal structure of PmY2In.

Lattice parameters (Å, degrees): 4.9183 4.9183 4.8583 90.00 90.00 90.00
Fractional coordinates of all 4 atoms:
1 Pm 0.0000 0.0000 0.0000
2 Y 0.0000 0.5000 0.5000
3 Y 0.5000 0.0000 0.5000
4 In 0.5000 0.5000 0.0000

Computed properties:
Fermi-level density of states = 5.323 states/eV per cell
total energy = -5.380 eV/atom
formation enthalpy at 0 K = -0.276 eV/atom
volume = 29.38 Å³ per atom
crystal system = tetragonal

No. 11
VASP calculation (PBE-GGA) on an optimized crystal structure of PmY9In2.

Lattice parameters (Å, degrees): 4.8939 4.8939 15.1131 90.00 90.00 90.00
Fractional coordinates of all 12 atoms:
1 Pm 0.0000 0.0000 0.0000
2 Y 0.0000 0.5000 0.1753
3 Y 0.0000 0.5000 0.5000
4 Y 0.0000 0.5000 0.8247
5 Y 0.5000 0.0000 0.1753
6 Y 0.5000 0.0000 0.5000
7 Y 0.5000 0.0000 0.8247
8 Y 0.5000 0.5000 0.0000
9 Y 0.5000 0.5000 0.3394
10 Y 0.5000 0.5000 0.6606
11 In 0.0000 0.0000 0.3396
12 In 0.0000 0.0000 0.6604

Computed properties:
Fermi-level density of states = 15.573 states/eV per cell
total energy = -5.867 eV/atom
formation enthalpy at 0 K = -0.166 eV/atom
volume = 30.16 Å³ per atom
crystal system = tetragonal

No. 12
VASP calculation (PBE-GGA) on an optimized crystal structure of Pm4YIn2.

Lattice parameters (Å, degrees): 7.6887 7.6887 7.6887 134.59 134.59 66.17
Fractional coordinates of all 7 atoms:
1 Pm 0.0000 0.5000 0.5000
2 Pm 0.2500 0.7500 0.5000
3 Pm 0.5000 0.0000 0.5000
4 Pm 0.7500 0.2500 0.5000
5 Y 0.0000 0.0000 0.0000
6 In 0.3774 0.3774 0.0000
7 In 0.6226 0.6226 0.0000

Computed properties:
Fermi-level density of states = 10.424 states/eV per cell
total energy = -4.308 eV/atom
formation enthalpy at 0 K = 0.112 eV/atom
volume = 32.42 Å³ per atom
crystal system = tetragonal